# 1
Below is a geometry-optimized KTcS3 structure, with properties calculated at the GGA-PBE level.

a b c (Å): 4.7397 4.7397 4.7414
angles (deg): 90.00 90.00 90.00
Fractional positions:
K 0.0000 0.0000 0.0000
Tc 0.5000 0.5000 0.5018
S 0.0000 0.5000 0.5022
S 0.5000 0.0000 0.5022
S 0.5000 0.5000 0.0018

Calculated values
SG: P4mm, No. 99
Final energy, Ry/atom: -0.37391
Crystal system: tetragonal

***

# 2
Below is a geometry-optimized KZrTcS3 structure, with properties calculated at the GGA-PBE level.

a b c (Å): 7.7539 7.7539 9.6512
angles (deg): 90.00 90.00 153.23
Fractional positions:
K 0.2491 0.7509 0.7500
K 0.7509 0.2491 0.2500
Zr 0.0000 0.0000 0.0000
Zr 0.0000 0.0000 0.5000
Tc 0.4787 0.5213 0.2500
Tc 0.5213 0.4787 0.7500
S 0.0794 0.9206 0.2500
S 0.3803 0.6197 0.0616
S 0.3803 0.6197 0.4384
S 0.6197 0.3803 0.5616
S 0.6197 0.3803 0.9384
S 0.9206 0.0794 0.7500

Calculated values
SG: Cmcm, No. 63
Final energy, Ry/atom: -0.47862
Crystal system: orthorhombic

***

# 3
Below is a geometry-optimized KTmTeS structure, with properties calculated at the GGA-PBE level.

a b c (Å): 8.2174 8.2174 8.2174
angles (deg): 29.62 29.62 29.62
Fractional positions:
K 0.0000 0.0000 0.0000
Tm 0.4847 0.4847 0.4847
Te 0.2291 0.2291 0.2291
S 0.7611 0.7611 0.7611

Calculated values
SG: R3m, No. 160
Final energy, Ry/atom: -0.35287
Crystal system: trigonal

***

# 4
Below is a geometry-optimized KZrTlS3 structure, with properties calculated at the GGA-PBE level.

a b c (Å): 9.0501 3.9295 9.5217
angles (deg): 90.00 99.71 90.00
Fractional positions:
K 0.2133 0.2500 0.4449
K 0.7867 0.7500 0.5551
Zr 0.4191 0.7500 0.7959
Zr 0.5809 0.2500 0.2041
Tl 0.1512 0.7500 0.0310
Tl 0.8488 0.2500 0.9690
S 0.1578 0.7500 0.6974
S 0.3602 0.2500 0.9784
S 0.4618 0.7500 0.3182
S 0.5382 0.2500 0.6818
S 0.6398 0.7500 0.0216
S 0.8422 0.2500 0.3026

Calculated values
SG: P2_1/m, No. 11
Final energy, Ry/atom: -0.38276
ΔE to the lowest computed polymorph, meV/atom: 81
Crystal system: monoclinic

***

# 5
Below is a geometry-optimized KZrTlS3 structure, with properties calculated at the GGA-PBE level.

a b c (Å): 15.0336 3.8036 11.5172
angles (deg): 90.00 90.00 90.00
Fractional positions:
K 0.2358 0.2500 0.1175
K 0.2642 0.7500 0.6175
K 0.7358 0.2500 0.3825
K 0.7642 0.7500 0.8825
Zr 0.0729 0.7500 0.3756
Zr 0.4271 0.2500 0.8756
Zr 0.5729 0.7500 0.1244
Zr 0.9271 0.2500 0.6244
Tl 0.0732 0.7500 0.8691
Tl 0.4268 0.2500 0.3691
Tl 0.5732 0.7500 0.6309
Tl 0.9268 0.2500 0.1309
S 0.0489 0.7500 0.6114
S 0.0709 0.7500 0.1610
S 0.1860 0.2500 0.4015
S 0.3140 0.7500 0.9015
S 0.4291 0.2500 0.6610
S 0.4511 0.2500 0.1114
S 0.5489 0.7500 0.8886
S 0.5709 0.7500 0.3390
S 0.6860 0.2500 0.0985
S 0.8140 0.7500 0.5985
S 0.9291 0.2500 0.8390
S 0.9511 0.2500 0.3886

Calculated values
SG: Pnma, No. 62
Final energy, Ry/atom: -0.38869
ΔE to the lowest computed polymorph, meV/atom: 0
Crystal system: orthorhombic

***

# 6
Below is a geometry-optimized KZrTlS3 structure, with properties calculated at the GGA-PBE level.

a b c (Å): 8.3166 8.3166 11.2422
angles (deg): 90.00 90.00 153.84
Fractional positions:
K 0.1606 0.8394 0.7500
K 0.8394 0.1606 0.2500
Zr 0.5000 0.5000 0.0000
Zr 0.5000 0.5000 0.5000
Tl 0.1402 0.8598 0.2500
Tl 0.8598 0.1402 0.7500
S 0.1069 0.8931 0.5039
S 0.1069 0.8931 0.9961
S 0.4926 0.5074 0.7500
S 0.5074 0.4926 0.2500
S 0.8931 0.1069 0.0039
S 0.8931 0.1069 0.4961

Calculated values
SG: Cmcm, No. 63
Final energy, Ry/atom: -0.37947
ΔE to the lowest computed polymorph, meV/atom: 125
Crystal system: orthorhombic